This record from the Alexandria database describes a geometry-optimized LiAc3Sn4 structure. The functional is GGA-PBE.

```
8
Lattice="4.962 0.000 0.000 0.000 6.767 0.000 -2.481 -3.384 8.514" Properties=species:S:1:pos:R:3 pbc="T T T"
Sn 0.000 1.470 6.492
Sn 2.481 1.913 2.022
Sn 0.000 -1.470 6.492
Sn 2.481 4.854 2.022
Ac 0.000 0.000 3.331
Ac 0.000 3.384 0.000
Ac 2.481 3.384 5.183
Li 2.481 0.000 0.000
```

Values from the calculation:
ΔE_f	-4.1	eV/f.u.
E	-4.294	eV per atom

=====

This record from the Alexandria database describes a geometry-optimized Li2AcSn2 structure. The functional is GGA-PBE.

```
5
Lattice="4.327 0.000 -1.617 -0.604 4.285 -1.617 0.100 0.115 6.866" Properties=species:S:1:pos:R:3 pbc="T T T"
Sn 1.493 1.718 3.995
Sn 2.330 2.682 -0.362
Li 3.144 1.129 1.816
Li 0.679 3.271 1.816
Ac 0.000 0.000 0.000
```

Values from the calculation:
ΔE_f	-2.8	eV/f.u.
E	-3.752	eV per atom
polymorph energy (0 for the lowest one)	0.000	eV/atom

=====

This record from the Alexandria database describes a geometry-optimized Li12AcSn6 structure. The functional is GGA-PBE.

```
19
Lattice="-0.662 2.962 6.942 -0.689 -7.408 1.433 7.451 0.629 -1.220" Properties=species:S:1:pos:R:3 pbc="T T T"
Li -0.171 -0.982 6.818
Li 3.061 2.209 5.765
Li 3.382 -4.331 4.600
Li 2.718 0.514 2.555
Li 3.390 -1.402 6.156
Li 6.282 1.283 2.524
Li 6.272 -2.835 0.336
Li 3.039 -6.026 1.390
Li 0.419 -1.757 3.304
Li -0.182 -5.100 4.631
Li 2.710 -2.416 0.999
Li 5.682 -2.061 3.851
Sn 4.781 0.556 4.593
Sn 1.097 -3.081 5.794
Sn 1.332 0.320 5.055
Sn 1.320 -4.374 2.562
Sn 4.768 -4.137 2.099
Sn 5.004 -0.736 1.361
Ac 0.000 0.000 0.000
```

Values from the calculation:
ΔE_f	-5.5	eV/f.u.
E	-2.979	eV per atom

=====

This record from the Alexandria database describes a geometry-optimized Li3Ac2Sn2 structure. The functional is GGA-PBE.

```
7
Lattice="-4.957 0.740 0.425 2.090 -4.960 3.261 1.178 5.429 4.288" Properties=species:S:1:pos:R:3 pbc="T T T"
Sn 0.181 -0.015 2.142
Sn -1.870 1.223 5.830
Li 0.379 -0.432 5.174
Li -2.478 0.370 0.212
Li -2.067 1.641 2.799
Ac 0.783 2.779 4.292
Ac -2.471 -1.571 3.681
```

Values from the calculation:
ΔE_f	-3.2	eV/f.u.
E	-3.599	eV per atom

=====

This record from the Alexandria database describes a geometry-optimized LiAc8Sn6 structure. The functional is GGA-PBE.

```
15
Lattice="9.974 0.000 0.000 4.987 8.638 0.000 4.987 2.879 6.904" Properties=species:S:1:pos:R:3 pbc="T T T"
Li 0.000 0.000 0.000
Ac 9.974 5.759 6.897
Ac 8.451 2.718 2.021
Ac 8.102 8.598 2.021
Ac 9.974 5.759 0.007
Ac 6.579 5.557 4.882
Ac 11.846 2.919 4.882
Ac 13.369 5.960 2.021
Ac 11.497 8.799 4.882
Sn 13.273 5.872 5.447
Sn 8.227 8.559 5.447
Sn 11.721 2.958 1.457
Sn 11.526 8.672 1.457
Sn 8.423 2.845 5.447
Sn 6.675 5.645 1.457
```

Values from the calculation:
ΔE_f	-7.6	eV/f.u.
E	-4.428	eV per atom

=====

This record from the Alexandria database describes a geometry-optimized LiAc8Sn5 structure. The functional is GGA-PBE.

```
14
Lattice="8.821 0.000 0.000 -2.985 8.301 0.000 -2.852 -4.197 7.216" Properties=species:S:1:pos:R:3 pbc="T T T"
Sn 0.065 -3.125 7.171
Sn 4.347 6.226 1.770
Sn -1.449 2.578 0.954
Sn 2.985 -2.099 3.608
Sn 3.007 2.529 4.537
Ac 6.208 -2.198 5.291
Ac -1.184 6.183 0.168
Ac 1.976 -0.425 6.341
Ac -2.673 4.169 3.711
Ac 0.564 0.456 2.689
Ac 4.901 0.467 2.590
Ac 1.766 3.997 1.789
Ac 0.382 3.767 6.283
Li -1.426 1.003 5.412
```

Values from the calculation:
ΔE_f	-7.3	eV/f.u.
E	-4.435	eV per atom

=====

This record from the Alexandria database describes a geometry-optimized Li4AcSn structure. The functional is GGA-PBE.

```
12
Lattice="-3.190 -0.584 3.031 2.142 -5.965 1.104 7.495 3.682 5.348" Properties=species:S:1:pos:R:3 pbc="T T T"
Li 3.223 1.325 3.648
Li 3.224 -4.192 5.835
Li 0.743 -4.345 3.194
Li 3.981 -0.784 4.039
Li 0.000 0.000 0.000
Li 5.705 1.479 6.289
Li 1.071 -2.982 0.552
Li 2.466 -2.083 5.445
Ac 6.092 -1.897 6.046
Ac 0.356 -0.970 3.438
Sn 3.500 -3.386 3.031
Sn 2.947 0.519 6.452
```

Values from the calculation:
ΔE_f	-0.8	eV/f.u.
E	-2.754	eV per atom
polymorph energy (0 for the lowest one)	0.028	eV/atom

=====

This record from the Alexandria database describes a geometry-optimized LiAc3Sn structure. The functional is GGA-PBE.

```
20
Lattice="6.885 0.000 0.000 0.000 9.607 -0.618 0.000 -2.467 10.873" Properties=species:S:1:pos:R:3 pbc="T T T"
Ac 1.422 5.196 1.291
Ac 0.287 -1.571 7.357
Ac 0.083 1.743 0.482
Ac 6.599 8.712 2.899
Ac 6.802 5.398 9.773
Ac 3.156 -0.337 1.920
Ac 3.526 6.631 4.337
Ac 2.021 3.963 6.727
Ac 3.730 7.478 8.335
Ac 4.865 3.178 3.528
Ac 3.360 0.510 5.919
Ac 5.464 1.945 8.965
Li 0.147 5.401 4.410
Li 6.739 1.740 5.845
Li 3.296 4.168 9.847
Li 3.589 2.973 0.408
Sn 1.469 2.508 3.574
Sn 5.416 4.633 6.682
Sn 4.912 5.866 1.245
Sn 1.973 1.275 9.010
```

Values from the calculation:
ΔE_f	-1.4	eV/f.u.
E	-3.922	eV per atom